Density functional theory data (PBE) for an optimized crystal structure of KAg2Cl8.

* uncorrected formation energy: -0.437 eV per atom
* density of states at the Fermi level: 0.7722 states/eV/atom

a = 7.377 Å, b = 7.377 Å, c = 13.228 Å
α = 90.00°, β = 90.00°, γ = 90.00°
Space group I422 (No. 97)
Inequivalent atoms, fractional coordinates:
K  0.000  0.000  0.000 (multiplicity 2)
Ag  0.000  0.500  0.250 (multiplicity 4)
Cl  0.151  0.333  0.627 (multiplicity 16)

***

Density functional theory data (PBE) for an optimized crystal structure of KAg2Cl6.

* uncorrected formation energy: -0.583 eV per atom
* density of states at the Fermi level: 1.0769 states/eV/atom
* ΔE to the lowest computed polymorph: 41 meV/atom

a = 6.7518 Å, b = 6.7518 Å, c = 6.7814 Å
α = 90.00°, β = 90.00°, γ = 120.00°
Space group P-31m (No. 162)
Inequivalent atoms, fractional coordinates:
K  0.0000  0.0000  0.0000 (multiplicity 1)
Ag  0.3333  0.6667  0.5000 (multiplicity 2)
Cl  0.0000  0.3783  0.7164 (multiplicity 6)

***

Density functional theory data (PBE) for an optimized crystal structure of KAgCl.

* uncorrected formation energy: -0.570 eV per atom
* density of states at the Fermi level: 0.2897 states/eV/atom
* ΔE to the lowest computed polymorph: 81 meV/atom

a = 5.105 Å, b = 5.127 Å, c = 12.911 Å
α = 90.00°, β = 90.00°, γ = 90.00°
Space group Fmm2 (No. 42)
Inequivalent atoms, fractional coordinates:
K  0.000  0.000  0.000 (multiplicity 4)
Ag  0.000  0.000  0.283 (multiplicity 4)
Cl  0.000  0.000  0.632 (multiplicity 4)

***

Density functional theory data (PBE) for an optimized crystal structure of KAgCl.

* uncorrected formation energy: -0.528 eV per atom
* density of states at the Fermi level: 0.5428 states/eV/atom
* ΔE to the lowest computed polymorph: 123 meV/atom

a = 7.331 Å, b = 7.331 Å, c = 7.331 Å
α = 90.00°, β = 90.00°, γ = 90.00°
Space group F-43m (No. 216)
Inequivalent atoms, fractional coordinates:
K  0.000  0.000  0.000 (multiplicity 4)
Ag  0.000  0.000  0.500 (multiplicity 4)
Cl  0.250  0.250  0.250 (multiplicity 4)

***

Density functional theory data (PBE) for an optimized crystal structure of KAgCl6.

* uncorrected formation energy: -0.431 eV per atom
* density of states at the Fermi level: 0.5917 states/eV/atom

a = 9.9417 Å, b = 9.9417 Å, c = 7.2600 Å
α = 90.00°, β = 90.00°, γ = 120.00°
Space group R-3m (No. 166, hexagonal axes)
Inequivalent atoms, fractional coordinates:
K  0.0000  0.0000  0.0000 (multiplicity 3)
Ag  0.0000  0.0000  0.5000 (multiplicity 3)
Cl  0.0863  0.5431  0.3556 (multiplicity 18)

***

Density functional theory data (PBE) for an optimized crystal structure of K3AgCl.

* uncorrected formation energy: -0.640 eV per atom
* density of states at the Fermi level: 0.6547 states/eV/atom
* ΔE to the lowest computed polymorph: 0 meV/atom

a = 6.034 Å, b = 6.034 Å, c = 6.034 Å
α = 90.00°, β = 90.00°, γ = 90.00°
Space group Pm-3m (No. 221)
Inequivalent atoms, fractional coordinates:
K  0.000  0.000  0.500 (multiplicity 3)
Ag  0.500  0.500  0.500 (multiplicity 1)
Cl  0.000  0.000  0.000 (multiplicity 1)

***

Density functional theory data (PBE) for an optimized crystal structure of KAg2Cl.

* uncorrected formation energy: 0.058 eV per atom
* density of states at the Fermi level: 0.1978 states/eV/atom
* ΔE to the lowest computed polymorph: 596 meV/atom

a = 3.5166 Å, b = 3.5166 Å, c = 29.1011 Å
α = 90.00°, β = 90.00°, γ = 120.00°
Space group R-3m (No. 166, hexagonal axes)
Inequivalent atoms, fractional coordinates:
K  0.0000  0.0000  0.0000 (multiplicity 3)
Ag  0.0000  0.0000  0.2348 (multiplicity 6)
Cl  0.0000  0.0000  0.5000 (multiplicity 3)

***

Density functional theory data (PBE) for an optimized crystal structure of K2AgCl.

* uncorrected formation energy: -0.876 eV per atom
* ΔE to the lowest computed polymorph: 13 meV/atom

a = 4.5491 Å, b = 4.5491 Å, c = 24.7678 Å
α = 90.00°, β = 90.00°, γ = 120.00°
Space group R3m (No. 160, hexagonal axes)
Inequivalent atoms, fractional coordinates:
K  0.0000  0.0000  0.0000 (multiplicity 3)
K  0.0000  0.0000  0.1842 (multiplicity 3)
Ag  0.0000  0.0000  0.7595 (multiplicity 3)
Cl  0.0000  0.0000  0.5920 (multiplicity 3)

***

Please write out number 3 again, unchanged.
Density functional theory data (PBE) for an optimized crystal structure of KAgCl.

* uncorrected formation energy: -0.570 eV per atom
* density of states at the Fermi level: 0.2897 states/eV/atom
* ΔE to the lowest computed polymorph: 81 meV/atom

a = 5.105 Å, b = 5.127 Å, c = 12.911 Å
α = 90.00°, β = 90.00°, γ = 90.00°
Space group Fmm2 (No. 42)
Inequivalent atoms, fractional coordinates:
K  0.000  0.000  0.000 (multiplicity 4)
Ag  0.000  0.000  0.283 (multiplicity 4)
Cl  0.000  0.000  0.632 (multiplicity 4)

***

- What is the formula in the seventh record?
  KAg2Cl

***

- Among the records above, which one has the highest uncorrected formation energy?
  KAg2Cl